First-principles (PBE-GGA) data for a geometry-optimized CsPuTcO6 structure, as listed in Alexandria via LeMat-Bulk.

Calculated values
Formation energy (no corrections), eV per formula unit: -18.3
Symmetry: Imma (74)
Calculated total energy, eV per atom: -8.18

a = 7.7966 Å, b = 7.3705 Å, c = 7.5682 Å
α = 119.14°, β = 121.00°, γ = 90.00°
Closest atoms and distances in Å follow each position.
Fractional coordinates of all 18 atoms:
O 0.5522 0.9214 0.7498  1 Tc 1.95, 1 Pu 2.09
O 0.4578 0.7078 0.9157  2 Tc 1.90
O 0.8024 0.6716 0.2502  1 Tc 1.95, 1 Pu 2.09
O 0.5422 0.2922 0.0843  2 Tc 1.90
O 0.1976 0.9214 0.7498  1 Tc 1.95, 1 Pu 2.09
O 0.8024 0.0786 0.2502  1 Tc 1.95, 1 Pu 2.09
O 0.5522 0.3284 0.7498  1 Tc 1.95, 1 Pu 2.09
O 0.8252 0.0752 0.6504  2 Pu 2.11
O 0.4478 0.6716 0.2502  1 Tc 1.95, 1 Pu 2.09
O 0.1748 0.9248 0.3496  2 Pu 2.11
O 0.4478 0.0786 0.2502  1 Tc 1.95, 1 Pu 2.09
O 0.1976 0.3284 0.7498  1 Tc 1.95, 1 Pu 2.09
Tc 0.5000 0.5000 0.0000  6 O 1.90-1.95
Tc 0.5000 0.0000 0.0000  6 O 1.90-1.95
Cs 0.1365 0.3865 0.2730  12 O 3.32-3.71
Cs 0.8635 0.6135 0.7270  12 O 3.32-3.71
Pu 0.5000 0.0000 0.5000  6 O 2.09-2.11
Pu 0.0000 0.0000 0.5000  6 O 2.09-2.11

---

First-principles (PBE-GGA) data for a geometry-optimized NaSr3TaO6 structure, as listed in Alexandria via LeMat-Bulk.

Calculated values
Formation energy (no corrections), eV per formula unit: -30.7
Symmetry: R-3c (167)
Calculated total energy, eV per atom: -7.15

a = 6.9124 Å, b = 6.9124 Å, c = 6.9124 Å
α = 91.25°, β = 91.25°, γ = 91.25°
Closest atoms and distances in Å follow each position.
Fractional coordinates of all 22 atoms:
O 0.0535 0.7212 0.9280  1 Ta 2.02
O 0.7212 0.9280 0.0535  1 Ta 2.02
O 0.5535 0.4280 0.2212  1 Ta 2.02
O 0.7788 0.4465 0.5720  1 Ta 2.02
O 0.9280 0.0535 0.7212  1 Ta 2.02
O 0.4465 0.5720 0.7788  1 Ta 2.02
O 0.5720 0.7788 0.4465  1 Ta 2.02
O 0.0720 0.9465 0.2788  1 Ta 2.02
O 0.2212 0.5535 0.4280  1 Ta 2.02
O 0.9465 0.2788 0.0720  1 Ta 2.02
O 0.4280 0.2212 0.5535  1 Ta 2.02
O 0.2788 0.0720 0.9465  1 Ta 2.02
Sr 0.4007 0.7500 0.0993  6 O 2.54-2.65
Sr 0.9007 0.5993 0.2500  6 O 2.54-2.65
Sr 0.2500 0.9007 0.5993  6 O 2.54-2.65
Sr 0.0993 0.4007 0.7500  6 O 2.54-2.65
Sr 0.5993 0.2500 0.9007  6 O 2.54-2.65
Sr 0.7500 0.0993 0.4007  6 O 2.54-2.65
Ta 0.0000 0.0000 0.0000  6 O 2.02
Ta 0.5000 0.5000 0.5000  6 O 2.02
Na 0.2500 0.2500 0.2500  6 O 2.42
Na 0.7500 0.7500 0.7500  6 O 2.42

---

First-principles (PBE-GGA) data for a geometry-optimized SrTi4Zn2 structure, as listed in Alexandria via LeMat-Bulk.

Calculated values
Symmetry: I4/mmm (139)
Calculated total energy, eV per atom: -3.71

a = 4.8789 Å, b = 4.8789 Å, c = 7.5443 Å
α = 71.13°, β = 71.13°, γ = 90.00°
Closest atoms and distances in Å follow each position.
Fractional coordinates of all 7 atoms:
Ti 0.7838 0.7838 0.4323  1 Zn 2.52
Ti 0.0000 0.5000 0.0000  2 Sr 2.44
Ti 0.2162 0.2162 0.5677  1 Zn 2.52
Ti 0.5000 0.0000 0.0000  2 Sr 2.44
Zn 0.4043 0.4043 0.1914  5 Ti 2.52-2.76, 1 Zn 2.57
Zn 0.5957 0.5957 0.8086  5 Ti 2.52-2.76, 1 Zn 2.57
Sr 0.0000 0.0000 0.0000  4 Ti 2.44

---

First-principles (PBE-GGA) data for a geometry-optimized Ca2BiTePd structure, as listed in Alexandria via LeMat-Bulk.

Calculated values
Formation energy (no corrections), eV per formula unit: -2.5
Symmetry: P4/mmm (123)
Calculated total energy, eV per atom: -3.75

a = 5.8425 Å, b = 4.9940 Å, c = 5.8425 Å
α = 90.00°, β = 90.00°, γ = 90.00°
Closest atoms and distances in Å follow each position.
Fractional coordinates of all 5 atoms:
Ca 0.0000 0.0000 0.5000  2 Te 2.92
Ca 0.5000 0.0000 0.0000  2 Te 2.92
Pd 0.0000 0.5000 0.0000  2 Te 2.50
Bi 0.5000 0.5000 0.5000  8 Ca 3.84, 4 Pd 4.13
Te 0.0000 0.0000 0.0000  2 Pd 2.50

---

First-principles (PBE-GGA) data for a geometry-optimized YMgGeH structure, as listed in Alexandria via LeMat-Bulk.

Calculated values
Symmetry: P4/nmm (129)
Calculated total energy, eV per atom: -4.60

a = 4.1492 Å, b = 4.1492 Å, c = 7.8655 Å
α = 90.00°, β = 90.00°, γ = 90.00°
Closest atoms and distances in Å follow each position.
Fractional coordinates of all 8 atoms:
Ge 0.0000 0.5000 0.2730  4 Mg 2.74, 4 H 2.99
Ge 0.5000 0.0000 0.7270  4 Mg 2.74, 4 H 2.99
Mg 0.0000 0.0000 0.5000  4 Ge 2.74, 4 Mg 2.93
Mg 0.5000 0.5000 0.5000  4 Ge 2.74, 4 Mg 2.93
H 0.5000 0.5000 0.0000  4 Y 2.32
H 0.0000 0.0000 0.0000  4 Y 2.32
Y 0.5000 0.0000 0.1324  4 H 2.32
Y 0.0000 0.5000 0.8676  4 H 2.32

---

First-principles (PBE-GGA) data for a geometry-optimized Tb3SmHg2 structure, as listed in Alexandria via LeMat-Bulk.

Calculated values
Energy relative to the lowest polymorph listed for this composition, meV/atom: 42
Symmetry: P4/mmm (123)
Calculated total energy, eV per atom: -3.51

a = 3.6923 Å, b = 3.6923 Å, c = 12.5277 Å
α = 90.00°, β = 90.00°, γ = 90.00°
Closest atoms and distances in Å follow each position.
Fractional coordinates of all 6 atoms:
Tb 0.0000 0.0000 0.3019  4 Hg 3.22
Tb 0.0000 0.0000 0.0000  8 Hg 3.23
Tb 0.0000 0.0000 0.6981  4 Hg 3.22
Hg 0.5000 0.5000 0.8480  8 Tb 3.22-3.23
Hg 0.5000 0.5000 0.1520  8 Tb 3.22-3.23
Sm 0.5000 0.5000 0.5000  8 Tb 3.60, 4 Sm 3.69

---

First-principles (PBE-GGA) data for a geometry-optimized V7Fe6Ni16 structure, as listed in Alexandria via LeMat-Bulk.

Calculated values
Symmetry: Fm-3m (225)
Calculated total energy, eV per atom: -7.11

a = 7.9690 Å, b = 7.9690 Å, c = 7.9690 Å
α = 60.00°, β = 60.00°, γ = 60.00°
Closest atoms and distances in Å follow each position.
Fractional coordinates of all 29 atoms:
Fe 0.7913 0.7913 0.2087  8 Ni 2.71-2.72, 4 V 2.86
Fe 0.7913 0.2087 0.2087  8 Ni 2.71-2.72, 4 V 2.86
Fe 0.7913 0.2087 0.7913  8 Ni 2.71-2.72, 4 V 2.86
Fe 0.2087 0.7913 0.7913  8 Ni 2.71-2.72, 4 V 2.86
Fe 0.2087 0.2087 0.7913  8 Ni 2.71-2.72, 4 V 2.86
Fe 0.2087 0.7913 0.2087  8 Ni 2.71-2.72, 4 V 2.86
Ni 0.6178 0.6178 0.1466  4 V 2.30-2.49, 3 Ni 2.54
Ni 0.3822 0.8534 0.3822  4 V 2.30-2.49, 3 Ni 2.54
Ni 0.6178 0.1466 0.6178  4 V 2.30-2.49, 3 Ni 2.54
Ni 0.4957 0.1681 0.1681  3 V 2.30, 3 Ni 2.54
Ni 0.1681 0.1681 0.1681  3 V 2.30, 3 Ni 2.54
Ni 0.1681 0.4957 0.1681  3 V 2.30, 3 Ni 2.54
Ni 0.3822 0.3822 0.8534  4 V 2.30-2.49, 3 Ni 2.54
Ni 0.8319 0.5043 0.8319  3 V 2.30, 3 Ni 2.54
Ni 0.8534 0.3822 0.3822  4 V 2.30-2.49, 3 Ni 2.54
Ni 0.1466 0.6178 0.6178  4 V 2.30-2.49, 3 Ni 2.54
Ni 0.1681 0.1681 0.4957  3 V 2.30, 3 Ni 2.54
Ni 0.5043 0.8319 0.8319  3 V 2.30, 3 Ni 2.54
Ni 0.8319 0.8319 0.8319  3 V 2.30, 3 Ni 2.54
Ni 0.8319 0.8319 0.5043  3 V 2.30, 3 Ni 2.54
Ni 0.3822 0.3822 0.3822  4 V 2.30-2.49, 3 Ni 2.54
Ni 0.6178 0.6178 0.6178  4 V 2.30-2.49, 3 Ni 2.54
V 0.5000 0.0000 0.5000  8 Ni 2.30-2.49
V 0.5000 0.5000 0.0000  8 Ni 2.30-2.49
V 0.5000 0.0000 0.0000  8 Ni 2.30-2.49
V 0.5000 0.5000 0.5000  8 Ni 2.30
V 0.0000 0.5000 0.5000  8 Ni 2.30-2.49
V 0.0000 0.5000 0.0000  8 Ni 2.30-2.49
V 0.0000 0.0000 0.5000  8 Ni 2.30-2.49

---

First-principles (PBE-GGA) data for a geometry-optimized Y8Ho2Th3 structure, as listed in Alexandria via LeMat-Bulk.

Calculated values
Energy relative to the lowest polymorph listed for this composition, meV/atom: 116
Symmetry: C2/m (12)
Calculated total energy, eV per atom: -6.12

a = 5.6040 Å, b = 7.8889 Å, c = 10.7090 Å
α = 111.61°, β = 90.09°, γ = 90.00°
Closest atoms and distances in Å follow each position.
Fractional coordinates of all 13 atoms:
Th 0.5000 0.0000 0.0000  4 Y 3.16
Th 0.0000 0.7030 0.0000  1 Th 3.20, 6 Y 3.48-3.52
Th 0.0000 0.2970 0.0000  1 Th 3.20, 6 Y 3.48-3.52
Ho 0.5022 0.7615 0.5229  8 Y 3.32-3.56
Ho 0.4978 0.2385 0.4771  8 Y 3.32-3.56
Y 0.5006 0.8114 0.2141  3 Th 3.16-3.52, 3 Y 3.22-3.49, 2 Ho 3.47-3.51
Y 0.5006 0.4027 0.2141  3 Th 3.16-3.52, 3 Y 3.22-3.49, 2 Ho 3.47-3.51
Y 0.0017 0.6724 0.3448  2 Ho 3.32, 4 Y 3.48-3.49
Y 0.4994 0.5973 0.7859  3 Th 3.16-3.52, 3 Y 3.22-3.49, 2 Ho 3.47-3.51
Y 0.4994 0.1886 0.7859  3 Th 3.16-3.52, 3 Y 3.22-3.49, 2 Ho 3.47-3.51
Y 0.0010 0.8710 0.7420  4 Th 3.48-3.81, 2 Ho 3.54-3.56, 4 Y 3.66-3.68
Y 0.9983 0.3276 0.6552  2 Ho 3.32, 4 Y 3.48-3.49
Y 0.9990 0.1290 0.2580  4 Th 3.48-3.81, 2 Ho 3.54-3.56, 4 Y 3.66-3.68

---

Number 1: calculated density 6.2 Mg/m³. Number 2: calculated density 5.7 Mg/m³. Number 3: calculated density 4.3 Mg/m³. Number 4: calculated density 5.1 Mg/m³. Number 5: calculated density 4.6 Mg/m³. Number 6: calculated density 10.0 Mg/m³. Number 7: calculated density 7.6 Mg/m³. Number 8: calculated density 6.6 Mg/m³.